No. 1
DFT (PBE) results for crystalline CoSe2 at its relaxed geometry.

Output
The value obtained for the final energy is -4.929 eV per atom. The value obtained for the magnetic moment is 0.0 Bohr magnetons per cell. The value obtained for the raw formation energy is -22.9 kJ per mole of atoms.

Unit cell a=3.568 b=12.707 c=4.797 alpha=90.00 beta=90.00 gamma=90.00
Space group Cmcm (No. 63)
Inequivalent atoms, fractional coordinates:
Co  0.000  0.167  0.250 [4 per cell]
Se  0.000  0.206  0.750 [4 per cell]
Se  0.000  0.453  0.750 [4 per cell]

No. 2
DFT (PBE) results for crystalline In2Re at its relaxed geometry.

Output
The value obtained for the final energy is -5.380 eV per atom. The value obtained for the magnetic moment is 0.8 Bohr magnetons per cell. The energy of formation comes out at 0.595 eV/atom.

Unit cell a=3.559 b=14.393 c=4.477 alpha=90.00 beta=90.00 gamma=90.00
Space group Cmcm (No. 63)
Inequivalent atoms, fractional coordinates:
In  0.000  0.065  0.250 [4 per cell]
In  0.000  0.257  0.750 [4 per cell]
Re  0.000  0.399  0.250 [4 per cell]

No. 3
DFT (PBE) results for crystalline ZrZn2Se at its relaxed geometry.

Output
The value obtained for the final energy is -3.860 eV per atom. The value obtained for the magnetic moment is 0.0 Bohr magnetons per cell. The value obtained for the raw formation energy is -20.7 kJ per mole of atoms.

Unit cell a=7.650 b=7.650 c=5.312 alpha=90.00 beta=90.00 gamma=90.00
Space group I-42d (No. 122)
Inequivalent atoms, fractional coordinates:
Zr  0.000  0.000  0.000 [4 per cell]
Zn  0.228  0.250  0.625 [8 per cell]
Se  0.000  0.000  0.500 [4 per cell]

No. 4
DFT (PBE) results for crystalline CaLaZr3 at its relaxed geometry.

Output
The value obtained for the final energy is -5.252 eV per atom. The value obtained for the offset from the most stable computed form is 315 meV/atom. The value obtained for the magnetic moment is 3.1 Bohr magnetons per cell. The energy of formation comes out at 1.263 eV/atom.

Unit cell a=5.297 b=5.297 c=5.297 alpha=90.00 beta=90.00 gamma=90.00
Space group Pm-3m (No. 221)
Inequivalent atoms, fractional coordinates:
Ca  0.000  0.000  0.000 [1 per cell]
La  0.500  0.500  0.500 [1 per cell]
Zr  0.000  0.000  0.500 [3 per cell]

No. 5
DFT (PBE) results for crystalline Ni2BPd at its relaxed geometry.

Output
The value obtained for the final energy is -5.945 eV per atom. The value obtained for the magnetic moment is 0.0 Bohr magnetons per cell. The energy of formation comes out at -0.087 eV/atom.

Unit cell a=2.8692 b=2.8692 c=18.9681 alpha=90.00 beta=90.00 gamma=120.00
Space group R3m (No. 160, hexagonal axes)
Inequivalent atoms, fractional coordinates:
Ni  0.0000  0.0000  0.0000 [3 per cell]
Ni  0.0000  0.0000  0.2234 [3 per cell]
B  0.0000  0.0000  0.6116 [3 per cell]
Pd  0.0000  0.0000  0.4462 [3 per cell]

No. 6
DFT (PBE) results for crystalline SbTe2PI at its relaxed geometry.

Output
The value obtained for the final energy is -2.988 eV per atom. The value obtained for the offset from the most stable computed form is 17 meV/atom. The value obtained for the magnetic moment is 0.0 Bohr magnetons per cell. The value obtained for the raw formation energy is 46.8 kJ per mole of atoms.

Unit cell a=5.309 b=5.309 c=5.407 alpha=90.00 beta=90.00 gamma=90.00
Space group P4/mmm (No. 123)
Inequivalent atoms, fractional coordinates:
Sb  0.000  0.000  0.000 [1 per cell]
Te  0.000  0.500  0.500 [2 per cell]
P  0.000  0.000  0.500 [1 per cell]
I  0.500  0.500  0.000 [1 per cell]

No. 7
DFT (PBE) results for crystalline Zr2TaBe2Rh5 at its relaxed geometry.

Output
The value obtained for the final energy is -8.100 eV per atom. The value obtained for the magnetic moment is 0.0 Bohr magnetons per cell. The energy of formation comes out at -0.784 eV/atom.

Unit cell a=9.324 b=9.324 c=3.386 alpha=90.00 beta=90.00 gamma=90.00
Space group P4/mbm (No. 127)
Inequivalent atoms, fractional coordinates:
Zr  0.174  0.326  0.000 [4 per cell]
Ta  0.000  0.000  0.000 [2 per cell]
Be  0.120  0.620  0.000 [4 per cell]
Rh  0.000  0.500  0.500 [2 per cell]
Rh  0.071  0.788  0.500 [8 per cell]

No. 8
DFT (PBE) results for crystalline LiYSc2Hg4 at its relaxed geometry.

Output
The value obtained for the final energy is -3.198 eV per atom. The value obtained for the magnetic moment is 0.0 Bohr magnetons per cell. The energy of formation comes out at -0.417 eV/atom.

Unit cell a=4.9546 b=4.9546 c=25.1375 alpha=90.00 beta=90.00 gamma=120.00
Space group R-3m (No. 166, hexagonal axes)
Inequivalent atoms, fractional coordinates:
Li  0.0000  0.0000  0.0000 [3 per cell]
Y  0.0000  0.0000  0.5000 [3 per cell]
Sc  0.0000  0.0000  0.2552 [6 per cell]
Hg  0.0000  0.0000  0.1161 [6 per cell]
Hg  0.0000  0.0000  0.3728 [6 per cell]

No. 9
DFT (PBE) results for crystalline InRu3 at its relaxed geometry.

Output
The value obtained for the final energy is -7.384 eV per atom. The value obtained for the magnetic moment is 0.0 Bohr magnetons per cell. The energy of formation comes out at 0.258 eV/atom.

Unit cell a=3.879 b=3.879 c=8.174 alpha=90.00 beta=90.00 gamma=90.00
Space group I4/mmm (No. 139)
Inequivalent atoms, fractional coordinates:
In  0.000  0.000  0.000 [2 per cell]
Ru  0.000  0.000  0.500 [2 per cell]
Ru  0.000  0.500  0.250 [4 per cell]

No. 10
DFT (PBE) results for crystalline LiHf at its relaxed geometry.

Output
The value obtained for the final energy is -5.540 eV per atom. The value obtained for the offset from the most stable computed form is 69 meV/atom. The value obtained for the magnetic moment is 0.0 Bohr magnetons per cell. The energy of formation comes out at 0.394 eV/atom.

Unit cell a=10.3130 b=10.3130 c=2.9339 alpha=90.00 beta=90.00 gamma=120.00
Space group P6_3/m (No. 176)
Inequivalent atoms, fractional coordinates:
Li  0.0574  0.2813  0.2500 [6 per cell]
Hf  0.1411  0.5954  0.2500 [6 per cell]

No. 11
DFT (PBE) results for crystalline PrAlCu2Au4 at its relaxed geometry.

Output
The value obtained for the final energy is -4.092 eV per atom. The value obtained for the magnetic moment is 0.0 Bohr magnetons per cell. The energy of formation comes out at -0.364 eV/atom.

Unit cell a=4.4393 b=4.4393 c=26.4430 alpha=90.00 beta=90.00 gamma=120.00
Space group R-3m (No. 166, hexagonal axes)
Inequivalent atoms, fractional coordinates:
Pr  0.0000  0.0000  0.0000 [3 per cell]
Al  0.0000  0.0000  0.5000 [3 per cell]
Cu  0.0000  0.0000  0.2389 [6 per cell]
Au  0.0000  0.0000  0.1326 [6 per cell]
Au  0.0000  0.0000  0.4000 [6 per cell]

No. 12
DFT (PBE) results for crystalline Na5B7C3 at its relaxed geometry.

Output
The value obtained for the final energy is -5.279 eV per atom. The value obtained for the offset from the most stable computed form is 9 meV/atom. The value obtained for the magnetic moment is 0.0 Bohr magnetons per cell. The energy of formation comes out at 0.122 eV/atom.

Unit cell a=17.898 b=2.829 c=13.387 alpha=90.00 beta=113.19 gamma=90.00
Space group Cm (No. 8)
Inequivalent atoms, fractional coordinates:
Na  0.000  0.000  0.000 [2 per cell]
Na  0.000  0.000  0.498 [2 per cell]
Na  0.099  0.500  0.204 [2 per cell]
Na  0.100  0.500  0.697 [2 per cell]
Na  0.201  0.000  0.401 [2 per cell]
Na  0.202  0.000  0.898 [2 per cell]
Na  0.301  0.500  0.597 [2 per cell]
Na  0.303  0.500  0.101 [2 per cell]
Na  0.399  0.000  0.798 [2 per cell]
Na  0.402  0.000  0.300 [2 per cell]
B  0.027  0.000  0.802 [2 per cell]
B  0.039  0.000  0.327 [2 per cell]
B  0.071  0.500  0.889 [2 per cell]
B  0.134  0.500  0.516 [2 per cell]
B  0.135  0.500  0.018 [2 per cell]
B  0.179  0.000  0.106 [2 per cell]
B  0.228  0.000  0.702 [2 per cell]
B  0.269  0.500  0.783 [2 per cell]
B  0.270  0.500  0.290 [2 per cell]
B  0.337  0.500  0.921 [2 per cell]
B  0.365  0.000  0.477 [2 per cell]
B  0.430  0.000  0.109 [2 per cell]
B  0.460  0.500  0.666 [2 per cell]
B  0.470  0.500  0.189 [2 per cell]
C  0.070  0.500  0.389 [2 per cell]
C  0.166  0.000  0.578 [2 per cell]
C  0.238  0.000  0.226 [2 per cell]
C  0.333  0.500  0.415 [2 per cell]
C  0.368  0.000  0.984 [2 per cell]
C  0.429  0.000  0.603 [2 per cell]

No. 13
DFT (PBE) results for crystalline ZnInTe2 at its relaxed geometry.

Output
The value obtained for the final energy is -2.495 eV per atom. The value obtained for the magnetic moment is 0.0 Bohr magnetons per cell. The value obtained for the raw formation energy is 7.6 kJ per mole of atoms.

Unit cell a=4.043 b=5.354 c=10.163 alpha=90.00 beta=90.00 gamma=90.00
Space group Cmm2 (No. 35)
Inequivalent atoms, fractional coordinates:
Zn  0.000  0.000  0.000 [2 per cell]
In  0.000  0.500  0.205 [2 per cell]
Te  0.000  0.000  0.454 [2 per cell]
Te  0.000  0.500  0.813 [2 per cell]

No. 14
DFT (PBE) results for crystalline AlSn4 at its relaxed geometry.

Output
The value obtained for the final energy is -3.566 eV per atom. The value obtained for the magnetic moment is 0.0 Bohr magnetons per cell. The energy of formation comes out at 0.384 eV/atom.

Unit cell a=5.298 b=5.298 c=5.298 alpha=90.00 beta=90.00 gamma=90.00
Space group Pm-3m (No. 221)
Inequivalent atoms, fractional coordinates:
Al  0.000  0.000  0.000 [1 per cell]
Sn  0.000  0.000  0.500 [3 per cell]
Sn  0.500  0.500  0.500 [1 per cell]

No. 15
DFT (PBE) results for crystalline BaMn2Pt at its relaxed geometry.

Output
The value obtained for the final energy is -6.281 eV per atom. The value obtained for the magnetic moment is 17.1 Bohr magnetons per cell. The energy of formation comes out at 0.295 eV/atom.

Unit cell a=3.348 b=5.397 c=10.523 alpha=90.00 beta=90.00 gamma=90.00
Space group Immm (No. 71)
Inequivalent atoms, fractional coordinates:
Ba  0.000  0.000  0.000 [2 per cell]
Mn  0.000  0.500  0.199 [4 per cell]
Pt  0.000  0.000  0.500 [2 per cell]

No. 16
DFT (PBE) results for crystalline Li3ThGe3 at its relaxed geometry.

Output
The value obtained for the final energy is -3.706 eV per atom. The value obtained for the magnetic moment is 0.0 Bohr magnetons per cell. The energy of formation comes out at 0.153 eV/atom.

Unit cell a=6.535 b=6.535 c=6.535 alpha=90.00 beta=90.00 gamma=90.00
Space group Pm-3n (No. 223)
Inequivalent atoms, fractional coordinates:
Li  0.000  0.250  0.500 [6 per cell]
Th  0.000  0.000  0.000 [2 per cell]
Ge  0.000  0.500  0.250 [6 per cell]

No. 17
DFT (PBE) results for crystalline PuCd5Au4 at its relaxed geometry.

Output
The value obtained for the final energy is -3.349 eV per atom. The value obtained for the magnetic moment is 6.1 Bohr magnetons per cell. The energy of formation comes out at -0.148 eV/atom.

Unit cell a=3.315 b=3.315 c=18.878 alpha=90.00 beta=90.00 gamma=90.00
Space group P4/mmm (No. 123)
Inequivalent atoms, fractional coordinates:
Pu  0.000  0.000  0.000 [1 per cell]
Cd  0.500  0.500  0.125 [2 per cell]
Cd  0.500  0.500  0.312 [2 per cell]
Cd  0.500  0.500  0.500 [1 per cell]
Au  0.000  0.000  0.218 [2 per cell]
Au  0.000  0.000  0.407 [2 per cell]

No. 18
DFT (PBE) results for crystalline Al2CrFe4 at its relaxed geometry.

Output
The value obtained for the final energy is -7.096 eV per atom. The value obtained for the magnetic moment is 8.6 Bohr magnetons per cell. The energy of formation comes out at 0.184 eV/atom.

Unit cell a=5.484 b=5.484 c=5.965 alpha=90.00 beta=90.00 gamma=90.00
Space group I4/mmm (No. 139)
Inequivalent atoms, fractional coordinates:
Al  0.000  0.500  0.000 [4 per cell]
Cr  0.000  0.000  0.000 [2 per cell]
Fe  0.250  0.250  0.250 [8 per cell]

No. 19
DFT (PBE) results for crystalline K2ZrTl at its relaxed geometry.

Output
The value obtained for the final energy is -2.717 eV per atom. The value obtained for the offset from the most stable computed form is 226 meV/atom. The value obtained for the magnetic moment is 3.8 Bohr magnetons per cell. The energy of formation comes out at 0.560 eV/atom.

Unit cell a=6.539 b=13.099 c=3.467 alpha=90.00 beta=118.88 gamma=90.00
Space group C2/m (No. 12)
Inequivalent atoms, fractional coordinates:
K  0.250  0.250  0.000 [4 per cell]
Zr  0.000  0.000  0.500 [2 per cell]
Tl  0.000  0.500  0.500 [2 per cell]

No. 20
DFT (PBE) results for crystalline Fe3BI at its relaxed geometry.

Output
The value obtained for the final energy is -4.454 eV per atom. The value obtained for the offset from the most stable computed form is 1736 meV/atom. The value obtained for the magnetic moment is 6.3 Bohr magnetons per cell. The value obtained for the raw formation energy is 218.9 kJ per mole of atoms.

Unit cell a=4.654 b=4.654 c=4.654 alpha=90.00 beta=90.00 gamma=90.00
Space group Pm-3m (No. 221)
Inequivalent atoms, fractional coordinates:
Fe  0.000  0.000  0.500 [3 per cell]
B  0.500  0.500  0.500 [1 per cell]
I  0.000  0.000  0.000 [1 per cell]